Record 1
Material: Ta5W8
Method: DFT, PBE-GGA
State: relaxed

Properties
Space group   R-3m
Offset from the most stable computed form   0 meV per atom
Density   17.36 Mg/m³
Calculated formation energy   61 meV/atom

a = 9.9819 Å, b = 9.9819 Å, c = 9.9819 Å
α = 30.51°, β = 30.51°, γ = 30.51°
With the nearest neighbours (Å) after each atom.
Positions (direct):
Ta 0.0000 0.0000 0.0000  6 W 2.70
Ta 0.1679 0.1679 0.1679  6 W 2.91-2.99, 3 Ta 3.03
Ta 0.3516 0.3516 0.3516  10 W 2.95-3.13, 6 Ta 3.08-3.21
Ta 0.6484 0.6484 0.6484  10 W 2.95-3.13, 6 Ta 3.08-3.21
Ta 0.8321 0.8321 0.8321  6 W 2.91-2.99, 3 Ta 3.03
W 0.0902 0.0902 0.5854  6 W 2.60-2.91, 2 Ta 2.70-2.91
W 0.0902 0.5854 0.0902  6 W 2.60-2.91, 2 Ta 2.70-2.91
W 0.4146 0.9098 0.9098  6 W 2.60-2.91, 2 Ta 2.70-2.91
W 0.4551 0.4551 0.4551  1 W 2.56
W 0.5449 0.5449 0.5449  1 W 2.56
W 0.5854 0.0902 0.0902  6 W 2.60-2.91, 2 Ta 2.70-2.91
W 0.9098 0.4146 0.9098  6 W 2.60-2.91, 2 Ta 2.70-2.91
W 0.9098 0.9098 0.4146  6 W 2.60-2.91, 2 Ta 2.70-2.91



Record 2
Material: CsEr2CuSeS3
Method: DFT, PBE-GGA
State: relaxed

Properties
Space group   Cmcm
Offset from the most stable computed form   34 meV per atom
Density   5.92 Mg/m³

a = 7.3314 Å, b = 7.3314 Å, c = 13.9654 Å
α = 90.00°, β = 90.00°, γ = 148.17°
With the nearest neighbours (Å) after each atom.
Positions (direct):
Cs 0.1137 0.8863 0.7500  2 Se 3.35, 4 S 3.43, 2 Cu 3.62
Cs 0.8863 0.1137 0.2500  2 Se 3.35, 4 S 3.43, 2 Cu 3.62
Er 0.3662 0.6338 0.5577  5 S 2.70-2.87, 1 Se 2.81
Er 0.3662 0.6338 0.9423  5 S 2.70-2.87, 1 Se 2.81
Er 0.6338 0.3662 0.0577  5 S 2.70-2.87, 1 Se 2.81
Er 0.6338 0.3662 0.4423  5 S 2.70-2.87, 1 Se 2.81
Cu 0.1730 0.8270 0.2500  2 S 2.35, 2 Se 2.43
Cu 0.8270 0.1730 0.7500  2 S 2.35, 2 Se 2.43
Se 0.4238 0.5762 0.7500  2 Cu 2.43
Se 0.5762 0.4238 0.2500  2 Cu 2.43
S 0.0000 0.0000 0.0000  4 Er 2.87
S 0.0000 0.0000 0.5000  4 Er 2.87
S 0.2532 0.7468 0.1028  1 Cu 2.35
S 0.2532 0.7468 0.3972  1 Cu 2.35
S 0.7468 0.2532 0.6028  1 Cu 2.35
S 0.7468 0.2532 0.8972  1 Cu 2.35



Record 3
Material: NdZn
Method: DFT, PBE-GGA
State: relaxed

Properties
Space group   P2_1/m
Density   7.00 Mg/m³
Calculated formation energy   -118 meV/atom

a = 6.8490 Å, b = 5.2245 Å, c = 8.4841 Å
α = 90.00°, β = 100.80°, γ = 90.00°
With the nearest neighbours (Å) after each atom.
Positions (direct):
Nd 0.1421 0.2500 0.0418  9 Nd 3.26-3.58, 3 Zn 3.28-3.48
Nd 0.2129 0.7500 0.3270  6 Zn 3.00-3.06
Nd 0.3466 0.7500 0.8746  4 Zn 3.00-3.12
Nd 0.6534 0.2500 0.1254  4 Zn 3.00-3.12
Nd 0.7871 0.2500 0.6730  6 Zn 3.00-3.06
Nd 0.8579 0.7500 0.9582  9 Nd 3.26-3.58, 3 Zn 3.28-3.48
Zn 0.0109 0.2500 0.3946  2 Zn 2.71-2.91, 1 Nd 3.02
Zn 0.2867 0.2500 0.6699  2 Zn 2.67-2.71
Zn 0.4372 0.2500 0.4017  2 Zn 2.67-2.91
Zn 0.5628 0.7500 0.5983  2 Zn 2.67-2.91
Zn 0.7133 0.7500 0.3301  2 Zn 2.67-2.71
Zn 0.9891 0.7500 0.6054  2 Zn 2.71-2.91, 1 Nd 3.02



Record 4
Material: USiB
Method: DFT, PBE-GGA
State: relaxed

Properties
Space group   F-43m
Offset from the most stable computed form   591 meV per atom
Density   8.27 Mg/m³

a = 4.2842 Å, b = 4.2842 Å, c = 4.2842 Å
α = 60.00°, β = 60.00°, γ = 60.00°
With the nearest neighbours (Å) after each atom.
Positions (direct):
U 0.0000 0.0000 0.0000  4 B 2.62, 4 Si 2.62
Si 0.7500 0.7500 0.7500  4 U 2.62
B 0.2500 0.2500 0.2500  4 U 2.62



Record 5
Material: DyHf2O4
Method: DFT, PBE-GGA
State: relaxed

Properties
Space group   Fd-3m
Density   10.06 Mg/m³
Total energy   -127.74 eV per cell

a = 6.4817 Å, b = 6.4817 Å, c = 6.4817 Å
α = 60.00°, β = 60.00°, γ = 60.00°
With the nearest neighbours (Å) after each atom.
Positions (direct):
Dy 0.1250 0.1250 0.1250  4 O 2.16
Dy 0.8750 0.8750 0.8750  4 O 2.16
Hf 0.0000 0.5000 0.5000  6 O 2.19
Hf 0.5000 0.0000 0.5000  6 O 2.19
Hf 0.5000 0.5000 0.0000  6 O 2.19
Hf 0.5000 0.5000 0.5000  6 O 2.19
O 0.2613 0.2613 0.2613  1 Dy 2.16, 3 Hf 2.19
O 0.2613 0.2613 0.7162  1 Dy 2.16, 3 Hf 2.19
O 0.2613 0.7162 0.2613  1 Dy 2.16, 3 Hf 2.19
O 0.2838 0.7387 0.7387  1 Dy 2.16, 3 Hf 2.19
O 0.7162 0.2613 0.2613  1 Dy 2.16, 3 Hf 2.19
O 0.7387 0.2838 0.7387  1 Dy 2.16, 3 Hf 2.19
O 0.7387 0.7387 0.2838  1 Dy 2.16, 3 Hf 2.19
O 0.7387 0.7387 0.7387  1 Dy 2.16, 3 Hf 2.19



Record 6
Material: Lu2GaO4
Method: DFT, PBE-GGA
State: relaxed

Properties
Space group   Fd-3m
Density   8.29 Mg/m³
Total energy   -102.99 eV per cell

a = 6.4961 Å, b = 6.4961 Å, c = 6.4961 Å
α = 60.00°, β = 60.00°, γ = 60.00°
With the nearest neighbours (Å) after each atom.
Positions (direct):
Lu 0.0000 0.0000 0.0000  6 O 2.22
Lu 0.0000 0.0000 0.5000  6 O 2.22
Lu 0.0000 0.5000 0.0000  6 O 2.22
Lu 0.5000 0.0000 0.0000  6 O 2.22
Ga 0.3750 0.3750 0.3750  4 O 2.14
Ga 0.6250 0.6250 0.6250  4 O 2.14
O 0.2223 0.7592 0.7592  1 Ga 2.14, 3 Lu 2.22
O 0.2408 0.2408 0.2408  1 Ga 2.14, 3 Lu 2.22
O 0.2408 0.2408 0.7777  1 Ga 2.14, 3 Lu 2.22
O 0.2408 0.7777 0.2408  1 Ga 2.14, 3 Lu 2.22
O 0.7592 0.2223 0.7592  1 Ga 2.14, 3 Lu 2.22
O 0.7592 0.7592 0.2223  1 Ga 2.14, 3 Lu 2.22
O 0.7592 0.7592 0.7592  1 Ga 2.14, 3 Lu 2.22
O 0.7777 0.2408 0.2408  1 Ga 2.14, 3 Lu 2.22



Record 7
Material: Er4Cd3Co2
Method: DFT, PBE-GGA
State: relaxed

Properties
Space group   P2/m
Density   9.30 Mg/m³
Calculated formation energy   -315 meV/atom

a = 7.3127 Å, b = 3.6481 Å, c = 7.9534 Å
α = 90.00°, β = 108.99°, γ = 90.00°
With the nearest neighbours (Å) after each atom.
Positions (direct):
Er 0.0951 0.0000 0.2249  2 Co 2.65
Er 0.3976 0.0000 0.6871  4 Co 2.82-2.88
Er 0.6024 0.0000 0.3129  4 Co 2.82-2.88
Er 0.9049 0.0000 0.7751  2 Co 2.65
Cd 0.0000 0.5000 0.5000  2 Co 2.94, 4 Er 3.10
Cd 0.2937 0.5000 0.0020  1 Co 3.03, 1 Cd 3.03, 8 Er 3.20-3.38
Cd 0.7063 0.5000 0.9980  1 Co 3.03, 1 Cd 3.03, 8 Er 3.20-3.38
Co 0.3508 0.5000 0.3963  1 Co 2.27
Co 0.6492 0.5000 0.6037  1 Co 2.27



Record 8
Material: GdHoAu4
Method: DFT, PBE-GGA
State: relaxed

Properties
Space group   P4/mmm
Density   14.57 Mg/m³
Calculated formation energy   -863 meV/atom

a = 3.7347 Å, b = 3.7347 Å, c = 9.0720 Å
α = 90.00°, β = 90.00°, γ = 90.00°
With the nearest neighbours (Å) after each atom.
Positions (direct):
Gd 0.0000 0.0000 0.0000  10 Au 3.05-3.06
Ho 0.5000 0.5000 0.5000  10 Au 3.02-3.03
Au 0.0000 0.0000 0.3372  5 Au 2.95-3.06, 4 Ho 3.03, 1 Gd 3.06
Au 0.0000 0.0000 0.6628  5 Au 2.95-3.06, 4 Ho 3.03, 1 Gd 3.06
Au 0.5000 0.5000 0.1676  1 Ho 3.02, 5 Au 3.04-3.06, 4 Gd 3.05
Au 0.5000 0.5000 0.8324  1 Ho 3.02, 5 Au 3.04-3.06, 4 Gd 3.05